Record 1
Density functional theory data (PBE) for a relaxed structure of Li2Sc3Cd4.

Cell: 4.9174 4.9174 9.0220 Å, 90.00 90.00 120.00°
With the nearest neighbours (Å) after each atom.
Space group P-3m1 (No. 164)
Inequivalent atoms, fractional coordinates:
Li: 0.3333 0.6667 0.2250 [2 per cell]  7 Cd 2.90-3.07, 1 Sc 3.19
Sc: 0.0000 0.0000 0.0000 [1 per cell]  8 Cd 2.97-3.01
Sc: 0.3333 0.6667 0.5788 [2 per cell]  4 Cd 2.93-2.95, 3 Sc 3.18, 1 Li 3.19
Cd: 0.0000 0.0000 0.3333 [2 per cell]  4 Sc 2.95-3.01, 3 Li 3.00, 1 Cd 3.01
Cd: 0.3333 0.6667 0.9036 [2 per cell]  4 Li 2.90-3.07, 4 Sc 2.93-2.97

Its density of states at the Fermi level is 6.08 states/eV per cell. The energy of formation from the pure elements is -0.15 eV/atom. The value obtained for the calculated volume is 188.9 Å³ per cell.

***

Record 2
Density functional theory data (PBE) for a relaxed structure of LiSc2Cd2.

Cell: 7.8842 7.8842 3.7099 Å, 90.00 90.00 90.00°
With the nearest neighbours (Å) after each atom.
Space group P4/mbm (No. 127)
Inequivalent atoms, fractional coordinates:
Li: 0.0000 0.0000 0.0000 [2 per cell]  4 Cd 3.04
Sc: 0.1573 0.3427 0.5000 [4 per cell]  6 Cd 2.92-2.99
Cd: 0.1404 0.6404 0.0000 [4 per cell]  6 Sc 2.92-2.99, 2 Li 3.04, 1 Cd 3.13

Its density of states at the Fermi level is 6.94 states/eV per cell. As for the energy relative to the lowest polymorph listed for this composition: 0.000 eV/atom. The energy of formation from the pure elements is -0.11 eV/atom. The value obtained for the calculated volume is 230.6 Å³ per cell.

***

Record 3
Density functional theory data (PBE) for a relaxed structure of LiSc2Cd.

Cell: 7.8918 7.8918 5.7351 Å, 90.00 90.00 90.00°
With the nearest neighbours (Å) after each atom.
Space group I-42d (No. 122)
Inequivalent atoms, fractional coordinates:
Li: 0.0000 0.0000 0.0000 [4 per cell]  4 Sc 2.83, 2 Cd 2.87
Sc: 0.2408 0.7500 0.1250 [8 per cell]  2 Li 2.83, 2 Sc 2.87, 2 Cd 2.93
Cd: 0.0000 0.0000 0.5000 [4 per cell]  2 Li 2.87, 4 Sc 2.93

Its density of states at the Fermi level is 19.28 states/eV per cell. The energy of formation from the pure elements is 0.22 eV/atom. The value obtained for the calculated volume is 357.2 Å³ per cell.

***

Record 4
Density functional theory data (PBE) for a relaxed structure of LiSc2Cd.

Cell: 3.4854 3.4854 7.0727 Å, 90.00 90.00 90.00°
With the nearest neighbours (Å) after each atom.
Space group P4mm (No. 99)
Inequivalent atoms, fractional coordinates:
Li: 0.0000 0.0000 0.0000 [1 per cell]  4 Cd 2.85, 4 Sc 3.08
Sc: 0.0000 0.0000 0.5385 [1 per cell]  4 Cd 3.07, 4 Sc 3.15, 1 Li 3.26
Sc: 0.5000 0.5000 0.2602 [1 per cell]  4 Li 3.08, 4 Sc 3.15, 1 Cd 3.28
Cd: 0.5000 0.5000 0.7971 [1 per cell]  4 Li 2.85, 4 Sc 3.07

Its density of states at the Fermi level is 3.97 states/eV per cell. The energy of formation from the pure elements is -0.09 eV/atom. The value obtained for the calculated volume is 85.9 Å³ per cell.

***

Record 5
Density functional theory data (PBE) for a relaxed structure of LiScCd2.

Cell: 3.2837 3.2837 7.4341 Å, 90.00 90.00 90.00°
With the nearest neighbours (Å) after each atom.
Space group P4/mmm (No. 123)
Inequivalent atoms, fractional coordinates:
Li: 0.0000 0.0000 0.0000 [1 per cell]  8 Cd 2.85
Sc: 0.0000 0.0000 0.5000 [1 per cell]  8 Cd 3.10, 4 Sc 3.28
Cd: 0.5000 0.5000 0.2232 [2 per cell]  4 Li 2.85, 4 Sc 3.10

Its density of states at the Fermi level is 3.27 states/eV per cell. The energy of formation from the pure elements is -0.26 eV/atom. The value obtained for the calculated volume is 80.2 Å³ per cell.

***

Record 6
Density functional theory data (PBE) for a relaxed structure of LiSc2Cd.

Cell: 3.1180 4.8024 6.0192 Å, 90.00 105.00 90.00°
With the nearest neighbours (Å) after each atom.
Space group Pm (No. 6)
Inequivalent atoms, fractional coordinates:
Li: 0.0000 0.0000 0.0000 [1 per cell]  2 Cd 2.84, 6 Sc 3.04-3.18, 2 Li 3.12
Sc: 0.2635 0.0000 0.5229 [1 per cell]  3 Li 3.04-3.18, 6 Sc 3.12-3.40, 4 Cd 3.13
Sc: 0.6051 0.5000 0.2070 [1 per cell]  3 Cd 3.09-3.14, 4 Li 3.10-3.11, 6 Sc 3.12-3.40
Cd: 0.8720 0.5000 0.7391 [1 per cell]  2 Li 2.84, 7 Sc 3.09-3.14, 2 Cd 3.12

Its density of states at the Fermi level is 4.01 states/eV per cell. The energy of formation from the pure elements is -0.04 eV/atom. The value obtained for the calculated volume is 87.1 Å³ per cell.

***

Record 7
Density functional theory data (PBE) for a relaxed structure of LiSc3Cd6.

Cell: 8.7001 4.8385 10.3986 Å, 90.00 103.84 90.00°
With the nearest neighbours (Å) after each atom.
Space group P2_1/m (No. 11)
Inequivalent atoms, fractional coordinates:
Li: 0.0500 0.2500 0.3942 [2 per cell]  8 Cd 2.87-2.95
Sc: 0.2445 0.2500 0.9914 [2 per cell]  8 Cd 2.98-3.14
Sc: 0.3550 0.7500 0.7900 [2 per cell]  8 Cd 2.99-3.08
Sc: 0.4619 0.2500 0.6022 [2 per cell]  8 Cd 3.03-3.17, 4 Sc 3.38-3.39
Cd: 0.0547 0.7500 0.8892 [2 per cell]  1 Li 2.87, 3 Cd 2.96-3.08, 4 Sc 2.98-3.14
Cd: 0.1392 0.7500 0.1939 [2 per cell]  8 Cd 2.96-3.08
Cd: 0.1459 0.2500 0.6805 [2 per cell]  3 Li 2.89-2.95, 4 Sc 3.05-3.14, 1 Cd 3.07
Cd: 0.2308 0.7500 0.4958 [2 per cell]  3 Li 2.94, 4 Sc 2.99-3.17, 3 Cd 3.05-3.28
Cd: 0.3348 0.2500 0.2983 [2 per cell]  1 Li 2.88, 2 Cd 3.01, 5 Sc 3.03-3.10
Cd: 0.4446 0.7500 0.0950 [2 per cell]  7 Sc 3.02-3.08, 1 Cd 3.07

Its density of states at the Fermi level is 12.51 states/eV per cell. The energy of formation from the pure elements is -0.24 eV/atom. The value obtained for the calculated volume is 425.0 Å³ per cell.

***

Record 8
Density functional theory data (PBE) for a relaxed structure of LiSc2Cd.

Cell: 11.2204 3.3501 5.0740 Å, 90.00 114.50 90.00°
With the nearest neighbours (Å) after each atom.
Space group Cm (No. 8)
Inequivalent atoms, fractional coordinates:
Li: 0.0000 0.0000 0.0000 [2 per cell]  2 Cd 2.72
Sc: 0.2377 0.0000 0.7618 [2 per cell]  4 Cd 3.05-3.06, 3 Li 3.16-3.35, 4 Sc 3.24-3.35
Sc: 0.4665 0.0000 0.4714 [2 per cell]  4 Li 3.05-3.07, 3 Cd 3.13-3.39, 4 Sc 3.24-3.35
Cd: 0.2081 0.5000 0.2356 [2 per cell]  2 Li 2.72

Its density of states at the Fermi level is 8.27 states/eV per cell. The energy of formation from the pure elements is -0.04 eV/atom. The value obtained for the calculated volume is 173.6 Å³ per cell.

***

Record 9
Density functional theory data (PBE) for a relaxed structure of LiScCd.

Cell: 6.7613 6.7613 6.7613 Å, 90.00 90.00 90.00°
With the nearest neighbours (Å) after each atom.
Space group F-43m (No. 216)
Inequivalent atoms, fractional coordinates:
Li: 0.0000 0.0000 0.0000 [4 per cell]  4 Sc 2.93
Sc: 0.2500 0.2500 0.7500 [4 per cell]  4 Cd 2.93, 4 Li 2.93
Cd: 0.0000 0.0000 0.5000 [4 per cell]  4 Sc 2.93

Its density of states at the Fermi level is 17.64 states/eV per cell. As for the energy relative to the lowest polymorph listed for this composition: 0.559 eV/atom. The energy of formation from the pure elements is 0.42 eV/atom. The value obtained for the calculated volume is 309.1 Å³ per cell.

***

Record 10
Density functional theory data (PBE) for a relaxed structure of Li2ScCd6.

Cell: 3.0539 8.4609 14.6298 Å, 90.00 90.00 90.00°
With the nearest neighbours (Å) after each atom.
Space group Immm (No. 71)
Inequivalent atoms, fractional coordinates:
Li: 0.0000 0.0000 0.1488 [4 per cell]  10 Cd 2.99-3.19, 2 Li 3.05
Sc: 0.0000 0.5000 0.0000 [2 per cell]  2 Sc 3.05, 12 Cd 3.19-3.29
Cd: 0.0000 0.1720 0.3271 [8 per cell]  6 Cd 2.87-3.05, 3 Li 2.99-3.19
Cd: 0.0000 0.3311 0.5000 [4 per cell]  5 Cd 2.86-3.05, 4 Li 3.02, 2 Sc 3.19

Its density of states at the Fermi level is 6.94 states/eV per cell. The energy of formation from the pure elements is -0.20 eV/atom. The value obtained for the calculated volume is 378.0 Å³ per cell.

***

Record 11
Density functional theory data (PBE) for a relaxed structure of LiSc2Cd.

Cell: 3.4798 3.4798 7.0930 Å, 90.00 90.00 90.00°
With the nearest neighbours (Å) after each atom.
Space group P4/mmm (No. 123)
Inequivalent atoms, fractional coordinates:
Li: 0.0000 0.0000 0.0000 [1 per cell]  8 Sc 2.99
Sc: 0.5000 0.5000 0.2390 [2 per cell]  4 Li 2.99, 4 Cd 3.08
Cd: 0.0000 0.0000 0.5000 [1 per cell]  8 Sc 3.08

Its density of states at the Fermi level is 5.62 states/eV per cell. The energy of formation from the pure elements is -0.05 eV/atom. The value obtained for the calculated volume is 85.9 Å³ per cell.

***

Record 12
Density functional theory data (PBE) for a relaxed structure of LiScCd5.

Cell: 6.2594 8.1632 6.3651 Å, 90.00 90.00 90.00°
With the nearest neighbours (Å) after each atom.
Space group Cmmm (No. 65)
Inequivalent atoms, fractional coordinates:
Li: 0.0000 0.0000 0.0000 [2 per cell]  10 Cd 3.06-3.13
Sc: 0.0000 0.5000 0.5000 [2 per cell]  10 Cd 2.99-3.18
Cd: 0.0000 0.5000 0.0000 [2 per cell]  8 Cd 3.06, 2 Li 3.13, 2 Sc 3.18
Cd: 0.2500 0.2500 0.2595 [8 per cell]  2 Sc 2.99, 6 Cd 3.06-3.30, 2 Li 3.06

Its density of states at the Fermi level is 7.27 states/eV per cell. The energy of formation from the pure elements is -0.09 eV/atom. The value obtained for the calculated volume is 325.2 Å³ per cell.

***

Which of these has the lowest energy of formation from the pure elements?
LiScCd2